! AlCrTc4 | Alexandria | PBE | relaxed; values from VASP
! Density   8.412 g/cm³
! Formation energy   0.2669 eV per atom
&SYSTEM
  ibrav = 0, nat = 6, ntyp = 3
/
ATOMIC_SPECIES
Tc 98.00 Tc.upf
Cr 52.00 Cr.upf
Al 26.98 Al.upf
CELL_PARAMETERS angstrom
0.000 3.596 3.596
3.596 0.000 3.596
3.596 3.596 0.000
ATOMIC_POSITIONS crystal
Tc 0.625 0.625 0.625
Cr 0.000 0.000 0.000
Tc 0.625 0.126 0.625
Tc 0.625 0.625 0.126
Tc 0.126 0.625 0.625
Al 0.250 0.250 0.250

---

! RbTl2PbBr6 | Alexandria | PBE | relaxed; values from VASP
! Density   4.868 g/cm³
! E_form (uncorrected)   -0.9294 eV per atom
&SYSTEM
  ibrav = 0, nat = 20, ntyp = 4
/
ATOMIC_SPECIES
Br 79.90 Br.upf
Tl 204.38 Tl.upf
Pb 207.20 Pb.upf
Rb 85.47 Rb.upf
CELL_PARAMETERS angstrom
7.842 0.000 0.231
0.000 8.918 0.000
0.400 0.000 11.532
ATOMIC_POSITIONS crystal
Br 0.652 0.264 0.605
Tl 0.522 0.557 0.777
Br 0.818 0.838 0.530
Br 0.182 0.162 0.470
Br 0.682 0.338 0.970
Br 0.318 0.662 0.030
Br 0.640 0.100 0.272
Tl 0.022 0.943 0.277
Br 0.140 0.400 0.772
Br 0.360 0.900 0.728
Pb 0.000 0.500 0.000
Rb 0.500 0.000 0.000
Tl 0.478 0.443 0.223
Br 0.348 0.736 0.395
Br 0.860 0.600 0.228
Br 0.848 0.764 0.895
Br 0.152 0.236 0.105
Tl 0.978 0.057 0.723
Pb 0.500 0.000 0.500
Rb 0.000 0.500 0.500

---

! YAgSn | Alexandria | PBE | relaxed; values from VASP
! Density   7.347 g/cm³
! Formation energy   -0.4769 eV per atom
&SYSTEM
  ibrav = 0, nat = 6, ntyp = 3
/
ATOMIC_SPECIES
Y 88.91 Y.upf
Sn 118.71 Sn.upf
Ag 107.87 Ag.upf
CELL_PARAMETERS angstrom
4.750 0.010 -0.008
-2.387 4.567 -0.072
0.012 1.087 6.550
ATOMIC_POSITIONS crystal
Y 0.836 0.958 0.874
Sn 0.494 0.273 0.570
Ag 0.166 0.615 0.740
Sn 0.494 0.273 0.070
Y 0.151 0.588 0.266
Ag 0.822 0.931 0.399

---

! Cu2GeTe3 | Alexandria | PBE | relaxed; values from VASP
! Density   5.827 g/cm³
! E above lowest polymorph   0.02 eV per formula unit
! E_form (uncorrected)   -0.0941 eV per atom
&SYSTEM
  ibrav = 0, nat = 24, ntyp = 3
/
ATOMIC_SPECIES
Cu 63.55 Cu.upf
Te 127.60 Te.upf
Ge 72.64 Ge.upf
CELL_PARAMETERS angstrom
14.163 -0.007 0.006
11.583 6.943 0.007
2.581 -1.667 6.747
ATOMIC_POSITIONS crystal
Cu 0.578 0.258 0.260
Te 0.705 0.135 0.884
Ge 0.510 0.154 0.824
Te 0.209 0.624 0.359
Te 0.051 0.453 0.542
Te 0.884 0.275 0.705
Te 0.626 0.041 0.442
Ge 0.824 0.512 0.510
Te 0.542 0.954 0.051
Cu 0.260 0.905 0.578
Cu 0.345 0.990 0.992
Te 0.115 0.545 0.975
Te 0.296 0.708 0.797
Te 0.797 0.199 0.296
Cu 0.166 0.834 0.166
Cu 0.416 0.084 0.416
Ge 0.738 0.426 0.096
Cu 0.661 0.339 0.661
Cu 0.992 0.672 0.345
Te 0.442 0.891 0.626
Te 0.975 0.366 0.115
Te 0.359 0.808 0.209
Cu 0.911 0.589 0.911
Ge 0.096 0.740 0.738

---

! Nd2SmPu3Se6 | Alexandria | PBE | relaxed; values from VASP
! Density   8.833 g/cm³
! E_form (uncorrected)   -1.6972 eV per atom
&SYSTEM
  ibrav = 0, nat = 12, ntyp = 4
/
ATOMIC_SPECIES
Se 78.96 Se.upf
Pu 244.00 Pu.upf
Nd 144.24 Nd.upf
Sm 150.36 Sm.upf
CELL_PARAMETERS angstrom
4.173 0.000 0.000
0.000 8.346 0.335
-2.086 -2.373 8.783
ATOMIC_POSITIONS crystal
Se 0.333 0.921 0.665
Pu 0.500 0.500 0.000
Se 0.998 0.251 0.997
Se 0.667 0.079 0.335
Nd 0.166 0.336 0.333
Sm 0.500 0.000 0.000
Nd 0.834 0.664 0.667
Se 0.002 0.749 0.003
Se 0.665 0.589 0.331
Se 0.335 0.411 0.669
Pu 0.833 0.165 0.665
Pu 0.167 0.835 0.335

---

! NaCaTeN2 | Alexandria | PBE | relaxed; values from VASP
! Density   2.928 g/cm³
! E above lowest polymorph   1.00 eV per formula unit
! E_form (uncorrected)   1.0612 eV per atom
&SYSTEM
  ibrav = 0, nat = 5, ntyp = 4
/
ATOMIC_SPECIES
Te 127.60 Te.upf
N 14.01 N.upf
Na 22.99 Na.upf
Ca 40.08 Ca.upf
CELL_PARAMETERS angstrom
-4.078 0.378 -2.050
-0.741 -4.473 0.649
-2.515 1.174 5.221
ATOMIC_POSITIONS crystal
Te 0.000 0.000 0.500
N 0.500 0.000 0.000
Na 0.000 0.000 0.000
N 0.000 0.500 0.000
Ca 0.500 0.500 0.500

---

! BeNbCu | Alexandria | PBE | relaxed; values from VASP
! Density   5.717 g/cm³
! Formation energy   0.8501 eV per atom
! E above lowest polymorph   2.80 eV per formula unit
&SYSTEM
  ibrav = 0, nat = 3, ntyp = 3
/
ATOMIC_SPECIES
Nb 92.91 Nb.upf
Be 9.01 Be.upf
Cu 63.55 Cu.upf
CELL_PARAMETERS angstrom
0.000 2.886 2.886
2.886 0.000 2.886
2.886 2.886 0.000
ATOMIC_POSITIONS crystal
Nb 0.500 0.500 0.500
Be 0.250 0.250 0.250
Cu 0.750 0.750 0.750

---

! Tb12Y2Th | Alexandria | PBE | relaxed; values from VASP
! Density   7.918 g/cm³
! Formation energy   0.1131 eV per atom
&SYSTEM
  ibrav = 0, nat = 30, ntyp = 3
/
ATOMIC_SPECIES
Tb 158.93 Tb.upf
Th 232.04 Th.upf
Y 88.91 Y.upf
CELL_PARAMETERS angstrom
6.459 1.443 -0.384
1.443 6.459 0.384
-1.901 1.901 24.811
ATOMIC_POSITIONS crystal
Tb 0.097 0.902 0.798
Tb 0.555 0.445 0.072
Th 0.500 0.000 0.000
Tb 0.179 0.321 0.574
Y 0.954 0.546 0.272
Tb 0.445 0.555 0.928
Tb 0.999 0.004 0.330
Tb 0.055 0.945 0.072
Tb 0.686 0.814 0.576
Tb 0.945 0.055 0.928
Y 0.045 0.455 0.728
Tb 0.103 0.397 0.137
Tb 0.902 0.097 0.202
Tb 0.501 0.496 0.670
Th 0.000 0.500 0.000
Tb 0.814 0.686 0.424
Tb 0.004 0.999 0.670
Tb 0.834 0.170 0.445
Tb 0.598 0.403 0.798
Tb 0.330 0.666 0.445
Tb 0.403 0.598 0.202
Tb 0.321 0.179 0.426
Tb 0.666 0.330 0.555
Y 0.455 0.045 0.272
Tb 0.170 0.834 0.555
Tb 0.397 0.103 0.863
Tb 0.897 0.603 0.863
Y 0.546 0.954 0.728
Tb 0.603 0.897 0.137
Tb 0.496 0.501 0.330